The following is a DFT calculation (PBE) of a relaxed Cd2FeRu crystal.

The total magnetic moment comes out at 8.0 μB/cell. The calculation puts the total DFT energy (no corrections) at -4.148 eV/atom. For the formation energy, the calculation gives 744.3 meV per atom.

The structure in POSCAR format:
```
Cd2FeRu
1.0
-3.6809 3.6809 2.7050
3.6809 -3.6809 2.7050
3.6809 3.6809 -2.7050
Cd Fe Ru
4 2 2
Direct
0.1161 0.6250 0.9911 Cd
0.3750 0.3661 0.4911 Cd
0.6339 0.1250 0.0089 Cd
0.8750 0.8839 0.5089 Cd
0.0000 0.0000 0.0000 Fe
0.7500 0.2500 0.5000 Fe
0.2500 0.7500 0.5000 Ru
0.5000 0.5000 0.0000 Ru
```